1.
Material: Na3Tl4Ga
Method: DFT, PBE
State: optimized geometry

extended XYZ file:
```
16
Lattice="7.408 0.000 0.000 0.000 7.366 0.000 -3.648 0.000 7.979" Properties=species:S:1:pos:R:3 pbc="T T T"
Na 0.000 0.000 0.000
Na 0.026 3.683 3.960
Na 0.030 0.000 4.019
Na 3.704 3.683 0.000
Na 3.731 0.000 3.960
Na 3.734 3.683 4.019
Tl -1.807 1.842 6.121
Tl -1.807 5.524 6.121
Tl 1.863 1.841 1.858
Tl 1.863 5.525 1.858
Tl 1.897 1.841 6.121
Tl 1.897 5.525 6.121
Tl 5.567 1.842 1.858
Tl 5.567 5.524 1.858
Ga 0.000 3.683 0.000
Ga 3.704 0.000 0.000
```

Computed properties:
The symmetry is No. 12.

=====

2.
Material: NaTlGa
Method: DFT, PBE
State: optimized geometry

extended XYZ file:
```
12
Lattice="6.889 0.000 0.000 0.000 6.889 0.000 0.000 0.000 6.889" Properties=species:S:1:pos:R:3 pbc="T T T"
Na 0.000 0.000 0.000
Na 0.000 3.444 3.444
Na 3.444 0.000 3.444
Na 3.444 3.444 0.000
Tl 0.000 0.000 3.444
Tl 0.000 3.444 0.000
Tl 3.444 0.000 0.000
Tl 3.444 3.444 3.444
Ga 1.722 1.722 5.167
Ga 1.722 5.167 1.722
Ga 5.167 1.722 1.722
Ga 5.167 5.167 5.167
```

Computed properties:
Its energy relative to the lowest polymorph listed for this composition is 0.073 eV/atom. The symmetry is No. 216.

=====

3.
Material: NaTlGa
Method: DFT, PBE
State: optimized geometry

extended XYZ file:
```
3
Lattice="5.123 0.000 0.000 -2.562 4.437 0.000 0.000 0.000 3.284" Properties=species:S:1:pos:R:3 pbc="T T T"
Na 0.000 0.000 0.000
Tl 2.562 1.479 1.642
Ga 0.000 2.958 1.642
```

Computed properties:
Its energy relative to the lowest polymorph listed for this composition is 0.026 eV/atom. The symmetry is No. 187.

=====

4.
Material: NaTl2Ga
Method: DFT, PBE
State: optimized geometry

extended XYZ file:
```
4
Lattice="3.693 0.000 0.000 0.000 3.693 0.000 0.000 0.000 7.910" Properties=species:S:1:pos:R:3 pbc="T T T"
Na 0.000 0.000 0.000
Tl 1.846 1.846 2.206
Tl 1.846 1.846 5.705
Ga 0.000 0.000 3.955
```

Computed properties:
The symmetry is No. 123.

=====

Computed values of electronic total energy (unit: eV/atom) for the preceding records, in sequence: -2.137 -2.237 -2.285 -2.306.